No. 1
The following is a DFT calculation (PBE) of an optimized crystal structure of Ba4Hg2H.

Results
Raw total energy = -28.58 eV per cell
Energy relative to the lowest polymorph listed for this composition = 0 meV per atom
Symmetry = No. 11
Size of the total moment = 0.0 μB per cell

a = 7.790 Å, b = 8.361 Å, c = 9.302 Å
α = 90.00°, β = 107.09°, γ = 90.00°
Fractional positions:
Hg 0.705 0.750 0.044
Hg 0.271 0.250 0.436
Hg 0.295 0.250 0.956
Hg 0.729 0.750 0.564
Ba 0.082 0.750 0.906
Ba 0.490 0.989 0.251
Ba 0.918 0.250 0.094
Ba 0.510 0.011 0.749
Ba 0.510 0.489 0.749
Ba 0.941 0.250 0.623
Ba 0.490 0.511 0.251
Ba 0.059 0.750 0.377
H 0.739 0.250 0.806
H 0.261 0.750 0.194

=====

No. 2
The following is a DFT calculation (PBE) of an optimized crystal structure of U5Pa2S12.

Results
Raw total energy = -150.94 eV per cell
ΔE_f (raw) = -1.3670 eV per atom
Symmetry = No. 12
Size of the total moment = 16.0 μB per cell

a = 7.219 Å, b = 8.445 Å, c = 8.901 Å
α = 105.04°, β = 90.00°, γ = 115.30°
Each line ends with the local moment (μB).
Fractional positions:
S 0.976 0.951 0.195  0.05
S 0.602 0.702 0.439  0.07
S 0.506 0.011 0.243  0.05
S 0.494 0.989 0.757  0.05
S 0.088 0.638 0.899  0.06
S 0.101 0.702 0.439  0.07
S 0.912 0.362 0.101  0.06
S 0.398 0.298 0.561  0.07
S 0.451 0.362 0.101  0.06
S 0.024 0.049 0.805  0.05
S 0.549 0.638 0.899  0.06
S 0.899 0.298 0.561  0.07
U 0.684 0.367 0.823  -2.64
U 0.316 0.633 0.177  -2.64
U 0.298 0.596 0.639  -2.50
U 0.000 0.000 0.500  -2.52
U 0.702 0.404 0.361  -2.50
Pa 0.739 0.000 0.000  -1.07
Pa 0.261 0.000 0.000  -1.07